Tl3GeTe2Pd9: relaxed, PBE. Values from VASP.

Cell and atoms, written as Quantum ESPRESSO input:
```
&SYSTEM
  ibrav = 0, nat = 15, ntyp = 4
/
ATOMIC_SPECIES
Tl 204.38 Tl.upf
Ge 72.64 Ge.upf
Te 127.60 Te.upf
Pd 106.42 Pd.upf
CELL_PARAMETERS angstrom
7.123 0.000 0.000
-3.561 6.168 0.000
0.000 0.000 7.975
ATOMIC_POSITIONS angstrom
Tl 0.000 0.000 0.000
Tl 0.000 4.112 5.712
Tl 3.561 2.056 2.263
Ge 0.000 0.000 3.988
Te 0.000 4.112 1.798
Te 3.561 2.056 6.178
Pd -1.781 3.084 0.000
Pd 0.000 1.614 2.160
Pd -2.163 5.361 2.160
Pd 1.398 0.807 5.815
Pd 3.561 0.000 0.000
Pd 1.781 3.084 0.000
Pd 2.163 5.361 2.160
Pd 5.725 0.807 5.815
Pd 3.561 4.554 5.815
```

Calculated values
* uncorrected energy: -66.36 eV/cell
* space group: P-3m1 (164)
* E_form (uncorrected): -108 meV per atom
* volume: 350.4 Å³ per cell

Tm8Ge3Te4Pd: relaxed, PBE. Values from VASP.

Cell and atoms, written as Quantum ESPRESSO input:
```
&SYSTEM
  ibrav = 0, nat = 16, ntyp = 4
/
ATOMIC_SPECIES
Tm 168.93 Tm.upf
Ge 72.64 Ge.upf
Te 127.60 Te.upf
Pd 106.42 Pd.upf
CELL_PARAMETERS angstrom
4.180 2.413 7.008
-4.180 2.413 7.008
0.000 -4.826 7.008
ATOMIC_POSITIONS angstrom
Tm -2.107 -1.216 12.037
Tm 0.000 0.000 5.038
Tm 0.000 -2.433 8.988
Tm -2.107 1.216 8.988
Tm 2.107 -1.217 12.037
Tm 0.000 2.433 12.037
Tm 0.000 0.000 15.987
Tm 2.107 1.216 8.988
Ge -4.180 0.000 10.512
Ge -2.090 1.207 3.504
Ge 2.090 1.207 3.504
Te 0.000 0.000 0.000
Te -2.090 -1.207 7.008
Te -2.090 1.207 14.016
Te 0.000 2.413 7.008
Pd 0.000 0.000 10.512
```

Calculated values
* uncorrected energy: -84.80 eV/cell
* space group: R-3m (166)
* E_form (uncorrected): -1089 meV per atom
* volume: 424.1 Å³ per cell

VGeTe2Pd: relaxed, PBE. Values from VASP.

Cell and atoms, written as Quantum ESPRESSO input:
```
&SYSTEM
  ibrav = 0, nat = 5, ntyp = 4
/
ATOMIC_SPECIES
V 50.94 V.upf
Ge 72.64 Ge.upf
Te 127.60 Te.upf
Pd 106.42 Pd.upf
CELL_PARAMETERS angstrom
5.318 0.000 0.000
0.000 5.318 0.000
0.000 0.000 4.657
ATOMIC_POSITIONS angstrom
V 0.000 0.000 0.000
Ge 0.000 0.000 2.328
Te 0.000 2.659 2.328
Te 2.659 0.000 2.328
Pd 2.659 2.659 0.000
```

Calculated values
* uncorrected energy: -20.25 eV/cell
* space group: P4/mmm (123)
* E_form (uncorrected): 992 meV per atom
* volume: 131.7 Å³ per cell

ZnGeTe2Pd: relaxed, PBE. Values from VASP.

Cell and atoms, written as Quantum ESPRESSO input:
```
&SYSTEM
  ibrav = 0, nat = 5, ntyp = 4
/
ATOMIC_SPECIES
Zn 65.41 Zn.upf
Ge 72.64 Ge.upf
Te 127.60 Te.upf
Pd 106.42 Pd.upf
CELL_PARAMETERS angstrom
5.433 0.000 0.000
0.000 5.433 0.000
0.000 0.000 4.608
ATOMIC_POSITIONS angstrom
Zn 0.000 0.000 0.000
Ge 0.000 0.000 2.304
Te 0.000 2.717 2.304
Te 2.717 0.000 2.304
Pd 2.717 2.717 0.000
```

Calculated values
* uncorrected energy: -14.52 eV/cell
* space group: P4/mmm (123)
* E_form (uncorrected): 570 meV per atom
* volume: 136.0 Å³ per cell

ThGePd3: relaxed, PBE. Values from VASP.

Cell and atoms, written as Quantum ESPRESSO input:
```
&SYSTEM
  ibrav = 0, nat = 5, ntyp = 3
/
ATOMIC_SPECIES
Th 232.04 Th.upf
Ge 72.64 Ge.upf
Pd 106.42 Pd.upf
CELL_PARAMETERS angstrom
-2.054 2.054 5.679
2.054 -2.054 5.679
2.054 2.054 -5.679
ATOMIC_POSITIONS angstrom
Th 0.000 0.000 0.000
Ge 0.000 0.000 4.161
Pd 2.054 0.000 2.769
Pd 0.000 0.000 6.604
Pd 0.000 2.054 2.769
```

Calculated values
* uncorrected energy: -31.35 eV/cell
* formation energy from the elements: -747 meV/atom
* space group: I4mm (107)
* volume: 95.9 Å³ per cell

Th3Ge2Pd: relaxed, PBE. Values from VASP.

Cell and atoms, written as Quantum ESPRESSO input:
```
&SYSTEM
  ibrav = 0, nat = 24, ntyp = 3
/
ATOMIC_SPECIES
Th 232.04 Th.upf
Ge 72.64 Ge.upf
Pd 106.42 Pd.upf
CELL_PARAMETERS angstrom
12.145 0.000 0.000
0.000 4.306 0.000
0.000 0.000 11.607
ATOMIC_POSITIONS angstrom
Th 0.575 1.077 1.430
Th 1.520 3.230 6.540
Th 2.616 1.077 9.250
Th 3.456 3.230 3.447
Th 4.553 1.077 0.736
Th 5.497 3.230 7.234
Th 6.648 1.077 4.373
Th 7.593 3.230 10.871
Th 8.689 1.077 8.160
Th 9.529 3.230 2.357
Th 10.625 1.077 5.067
Th 11.570 3.230 10.177
Ge 0.170 3.230 3.606
Ge 2.296 3.230 0.084
Ge 3.776 1.077 5.888
Ge 5.903 1.077 9.409
Ge 6.243 3.230 2.198
Ge 8.369 3.230 5.719
Ge 9.849 1.077 11.523
Ge 11.975 1.077 8.001
Pd 1.578 1.077 4.337
Pd 4.494 3.230 10.140
Pd 7.651 1.077 1.467
Pd 10.567 3.230 7.270
```

Calculated values
* uncorrected energy: -164.81 eV/cell
* formation energy from the elements: -753 meV/atom
* space group: Pnma (62)
* volume: 607.1 Å³ per cell

Th4Ge8Pd: relaxed, PBE. Values from VASP.

Cell and atoms, written as Quantum ESPRESSO input:
```
&SYSTEM
  ibrav = 0, nat = 13, ntyp = 3
/
ATOMIC_SPECIES
Th 232.04 Th.upf
Ge 72.64 Ge.upf
Pd 106.42 Pd.upf
CELL_PARAMETERS angstrom
4.106 0.000 0.000
0.000 4.200 0.000
0.000 0.000 17.120
ATOMIC_POSITIONS angstrom
Th 0.000 0.000 0.000
Th 0.000 2.100 8.359
Th 2.053 0.000 13.488
Th 2.053 2.100 4.772
Ge 0.000 0.000 5.721
Ge 0.000 0.000 10.690
Ge 0.000 2.100 2.382
Ge 0.000 2.100 14.613
Ge 2.053 0.000 2.381
Ge 2.053 0.000 7.369
Ge 2.053 2.100 10.670
Ge 2.053 2.100 16.154
Pd 0.000 2.100 12.137
```

Calculated values
* uncorrected energy: -80.22 eV/cell
* formation energy from the elements: -647 meV/atom
* space group: Pmm2 (25)
* volume: 295.2 Å³ per cell

Th3Ge3Pd: relaxed, PBE. Values from VASP.

Cell and atoms, written as Quantum ESPRESSO input:
```
&SYSTEM
  ibrav = 0, nat = 14, ntyp = 3
/
ATOMIC_SPECIES
Th 232.04 Th.upf
Ge 72.64 Ge.upf
Pd 106.42 Pd.upf
CELL_PARAMETERS angstrom
5.501 -2.190 0.000
5.501 2.190 0.000
-5.331 0.000 13.820
ATOMIC_POSITIONS angstrom
Th -1.651 0.000 5.289
Th -3.798 0.000 12.729
Th 1.453 0.000 3.162
Th 4.218 0.000 10.657
Th 9.470 0.000 1.091
Th 7.323 0.000 8.530
Ge 1.601 0.000 6.327
Ge -0.761 0.000 12.788
Ge 1.153 0.000 10.573
Ge 4.519 0.000 3.247
Ge 6.432 0.000 1.032
Ge 4.071 0.000 7.492
Pd -0.468 0.000 8.437
Pd 6.139 0.000 5.383
```

Calculated values
* uncorrected energy: -93.92 eV/cell
* formation energy from the elements: -808 meV/atom
* space group: C2/m (12)
* volume: 333.0 Å³ per cell

ThGe2Pd8: relaxed, PBE. Values from VASP.

Cell and atoms, written as Quantum ESPRESSO input:
```
&SYSTEM
  ibrav = 0, nat = 11, ntyp = 3
/
ATOMIC_SPECIES
Th 232.04 Th.upf
Ge 72.64 Ge.upf
Pd 106.42 Pd.upf
CELL_PARAMETERS angstrom
3.818 -5.682 0.000
3.818 5.682 0.000
-1.296 0.000 4.389
ATOMIC_POSITIONS angstrom
Th 0.000 0.000 0.000
Ge 3.170 2.033 2.194
Ge 3.170 -2.033 2.194
Pd 0.714 1.452 2.608
Pd 3.818 2.872 0.000
Pd 0.714 -1.452 2.608
Pd 2.735 0.000 0.810
Pd 3.605 0.000 3.579
Pd 5.626 1.452 1.781
Pd 3.818 -2.872 0.000
Pd 5.626 -1.452 1.781
```

Calculated values
* uncorrected energy: -64.57 eV/cell
* formation energy from the elements: -579 meV/atom
* space group: C2/m (12)
* volume: 190.4 Å³ per cell

Th2Ge3Pd: relaxed, PBE. Values from VASP.

Cell and atoms, written as Quantum ESPRESSO input:
```
&SYSTEM
  ibrav = 0, nat = 12, ntyp = 3
/
ATOMIC_SPECIES
Th 232.04 Th.upf
Ge 72.64 Ge.upf
Pd 106.42 Pd.upf
CELL_PARAMETERS angstrom
0.000 4.297 7.415
4.187 0.000 7.415
4.187 4.297 0.000
ATOMIC_POSITIONS angstrom
Th 6.319 4.297 7.415
Th 2.093 2.148 3.707
Th 6.280 6.445 11.122
Th 2.055 4.297 7.415
Ge 4.187 2.168 6.170
Ge 4.187 4.297 2.514
Ge 4.187 2.168 8.660
Ge 4.187 6.425 6.170
Ge 4.187 4.297 12.316
Ge 4.187 6.425 8.660
Pd 4.187 4.297 4.966
Pd 4.187 4.297 9.864
```

Calculated values
* uncorrected energy: -77.01 eV/cell
* formation energy from the elements: -770 meV/atom
* space group: Fmmm (69)
* volume: 266.8 Å³ per cell